The following is a DFT calculation (GGA-PBE) of a relaxed structure of BeCr2Ir.

Cell and atoms, written as POSCAR:
```
BeCr2Ir
1.0
-1.9649 2.4585 1.0884
-1.7882 -2.2016 1.7449
3.4346 1.3059 8.3452
Cr Ir Be
4 2 2
Cartesian
-0.5184 1.4946 2.9434
-0.5790 -0.6490 3.3542
1.1008 0.9923 7.3875
-0.6402 1.2876 8.6719
0.0000 0.0000 0.0000
-0.2034 1.9464 5.4251
-1.8765 0.1284 1.4166
-0.1150 -0.3836 5.7534
```

Properties
The energy relative to the elements is 303 meV per atom. The calculation puts the total moment at 0.0 μB per formula unit. As for the total energy: -30.62 eV per formula unit.